## Rb2CaV2O6 (GGA+U)

Data for crystalline Rb2CaV2O6 at its relaxed geometry.

crystal system	trigonal
magnetic moment	0.0061	μB per atom
calculated total energy	-6.50	eV/atom

a b c (Å): 6.2133 6.2133 18.2946
angles (deg): 90.00 90.00 120.00
Space group R-3m (No. 166, hexagonal axes)
Symmetry-distinct sites (fractional):
Rb  0.0000  0.0000  0.2167 x6
Ca  0.0000  0.0000  0.0000 x3
V  0.0000  0.0000  0.4274 x6
O  0.0180  0.5090  0.2552 x18